# 1
Rb2CrGaCl6 (GGA-PBE, optimized geometry); energy = -39.7 eV per cell; calculated volume = 282.7 Å³/cell; E_form (uncorrected) = -1.4040 eV/atom
1.0
7.3672 0.0000 0.0000
3.6836 6.3802 0.0000
3.6836 2.1267 6.0153
Cl Rb Ga Cr
6 2 1 1
Direct
0.2284 0.7716 0.2284 Cl
0.2284 0.7716 0.7716 Cl
0.7716 0.2284 0.7716 Cl
0.7716 0.7716 0.2284 Cl
0.7716 0.2284 0.2284 Cl
0.2284 0.2284 0.7716 Cl
0.7500 0.7500 0.7500 Rb
0.2500 0.2500 0.2500 Rb
0.5000 0.5000 0.5000 Ga
0.0000 0.0000 0.0000 Cr

=====

# 2
CrGaS2Cl (GGA-PBE, optimized geometry); energy = -24.0 eV per cell; calculated volume = 105.2 Å³/cell; E_form (uncorrected) = -0.2568 eV/atom
1.0
4.5799 0.0000 0.0000
0.0000 4.5799 0.0000
0.0000 0.0000 5.0174
Ga S Cl Cr
1 2 1 1
Direct
0.5000 0.5000 0.5000 Ga
0.0000 0.5000 0.0000 S
0.5000 0.0000 0.0000 S
0.0000 0.0000 0.5000 Cl
0.0000 0.0000 0.0000 Cr

=====

# 3
TlCrGaCl2 (GGA-PBE, optimized geometry); energy = -18.7 eV per cell; calculated volume = 117.9 Å³/cell; E_form (uncorrected) = 0.0110 eV/atom
1.0
4.4983 0.0000 0.0000
0.0000 5.8264 0.0000
0.0000 0.0000 4.4983
Ga Cr Tl Cl
1 1 1 2
Direct
0.5000 0.5000 0.5000 Ga
0.0000 0.0000 0.0000 Cr
0.0000 0.5000 0.0000 Tl
0.0000 0.0000 0.5000 Cl
0.5000 0.0000 0.0000 Cl

=====

# 4
TlCrGa2Cl8 (GGA-PBE, optimized geometry); energy = -44.4 eV per cell; calculated volume = 336.3 Å³/cell; E_form (uncorrected) = -0.9615 eV/atom
1.0
6.4355 0.0000 0.0000
3.2178 5.5733 0.0000
3.2178 1.8578 9.3767
Cl Ga Cr Tl
8 2 1 1
Direct
0.8263 0.8263 0.5211 Cl
0.7285 0.0497 0.8309 Cl
0.0497 0.3909 0.8309 Cl
0.9503 0.6091 0.1691 Cl
0.2715 0.9503 0.1691 Cl
0.3909 0.7285 0.8309 Cl
0.6091 0.2715 0.1691 Cl
0.1737 0.1737 0.4789 Cl
0.7476 0.7476 0.7571 Ga
0.2524 0.2524 0.2429 Ga
0.0000 0.0000 0.0000 Cr
0.5000 0.5000 0.5000 Tl

=====

# 5
TlCrGaCl6 (GGA-PBE, optimized geometry); energy = -35.2 eV per cell; calculated volume = 257.7 Å³/cell; E_form (uncorrected) = -1.0133 eV/atom
1.0
-4.0442 -3.6613 -3.2512
1.7109 -6.1156 -2.1510
-2.4647 -2.4412 6.2372
Cl Ga Cr Tl
6 1 1 1
Direct
0.9998 0.6208 0.6957 Cl
0.6205 0.0278 0.2890 Cl
0.3631 0.0110 0.6763 Cl
0.9993 0.3798 0.3044 Cl
0.3629 0.6260 0.3237 Cl
0.6211 0.3513 0.7107 Cl
0.3509 0.3244 0.4999 Ga
0.6680 0.6661 0.5001 Cr
0.0142 0.9928 0.0001 Tl

=====

# 6
Cr3GeCl (GGA-PBE, optimized geometry); energy = -31.6 eV per cell; calculated volume = 117.1 Å³/cell; E_form (uncorrected) = 0.7505 eV/atom
1.0
4.8920 0.0000 0.0000
0.0000 4.8920 0.0000
0.0000 0.0000 4.8920
Cr Ge Cl
3 1 1
Direct
0.0000 0.5000 0.0000 Cr
0.0000 0.0000 0.5000 Cr
0.5000 0.0000 0.0000 Cr
0.0000 0.0000 0.0000 Ge
0.5000 0.5000 0.5000 Cl

=====

# 7
Cr3GeCl (GGA-PBE, optimized geometry); energy = -31.1 eV per cell; calculated volume = 71.1 Å³/cell; E_form (uncorrected) = 0.8489 eV/atom
1.0
4.1431 0.0000 0.0000
0.0000 4.1431 0.0000
0.0000 0.0000 4.1431
Cr Cl Ge
3 1 1
Direct
0.5000 0.0000 0.0000 Cr
0.0000 0.5000 0.0000 Cr
0.0000 0.0000 0.5000 Cr
0.0000 0.0000 0.0000 Cl
0.5000 0.5000 0.5000 Ge

=====

# 8
Cr2GeCl (GGA-PBE, optimized geometry); energy = -24.2 eV per cell; calculated volume = 66.5 Å³/cell; E_form (uncorrected) = 0.3888 eV/atom
1.0
2.9383 1.9806 2.8512
-1.4274 1.5218 4.0413
1.2633 -2.1377 3.8105
Ge Cr Cl
1 2 1
Direct
0.5000 0.5000 0.5000 Ge
0.2500 0.2500 0.2500 Cr
0.7500 0.7500 0.7500 Cr
0.0000 0.0000 0.0000 Cl

=====

# 9
CrGe2Cl (GGA-PBE, optimized geometry); energy = -37.2 eV per cell; calculated volume = 197.0 Å³/cell; E_form (uncorrected) = 0.5308 eV/atom
1.0
4.8968 0.0000 0.0000
0.0000 4.8968 0.0000
2.4484 2.4484 8.2145
Cl Ge Cr
2 4 2
Direct
0.2500 0.7500 0.5000 Cl
0.5000 0.5000 0.0000 Cl
0.9993 0.6250 0.2500 Ge
0.3750 0.2493 0.7500 Ge
0.8750 0.0007 0.7500 Ge
0.7507 0.1250 0.2500 Ge
0.0000 0.0000 0.0000 Cr
0.7500 0.2500 0.5000 Cr

=====

# 10
CrGeCl3 (GGA-PBE, optimized geometry); energy = -21.5 eV per cell; calculated volume = 115.6 Å³/cell; E_form (uncorrected) = -0.3361 eV/atom
1.0
4.8716 0.0000 0.0000
0.0000 4.8716 0.0000
0.0000 0.0000 4.8716
Cl Cr Ge
3 1 1
Direct
0.0000 0.5000 0.0000 Cl
0.0000 0.0000 0.5000 Cl
0.5000 0.0000 0.0000 Cl
0.0000 0.0000 0.0000 Cr
0.5000 0.5000 0.5000 Ge

=====

# 11
CrGe2Cl (GGA-PBE, optimized geometry); energy = -18.5 eV per cell; calculated volume = 76.1 Å³/cell; E_form (uncorrected) = 0.5492 eV/atom
1.0
0.0000 3.3635 3.3635
3.3635 0.0000 3.3635
3.3635 3.3635 0.0000
Ge Cr Cl
2 1 1
Direct
0.7500 0.7500 0.7500 Ge
0.2500 0.2500 0.2500 Ge
0.5000 0.5000 0.5000 Cr
0.0000 0.0000 0.0000 Cl

=====

# 12
Cr2GeCl (GGA-PBE, optimized geometry); energy = -48.3 eV per cell; calculated volume = 182.9 Å³/cell; E_form (uncorrected) = 0.3949 eV/atom
1.0
-5.0369 3.0706 -0.2335
-1.2061 -1.5553 5.5659
-0.6028 5.0213 4.4034
Ge Cl Cr
2 2 4
Direct
0.0000 0.0000 0.0000 Ge
0.7500 0.2500 0.5000 Ge
0.2500 0.7500 0.5000 Cl
0.5000 0.5000 0.0000 Cl
0.1177 0.6250 0.2500 Cr
0.6323 0.1250 0.2500 Cr
0.8750 0.8823 0.7500 Cr
0.3750 0.3677 0.7500 Cr